This record from Alexandria via LeMat-Bulk describes crystalline NaGeB at its relaxed geometry. The functional is PBE-GGA.

Unit cell a=7.069 b=6.206 c=6.206 alpha=78.95 beta=110.89 gamma=69.11
Positions (direct):
Na 0.098 0.746 0.798
Na 0.598 0.702 0.754
Na 0.602 0.184 0.859
Na 0.102 0.641 0.316
Ge 0.977 0.299 0.709
Ge 0.477 0.791 0.201
Ge 0.478 0.217 0.288
Ge 0.978 0.212 0.283
B 0.132 0.317 0.070
B 0.632 0.430 0.183
B 0.631 0.424 0.462
B 0.131 0.038 0.076

- Space-group type: Cc, No. 9
- Calculated volume: 55.31 Å³/f.u.
- E: -3.8417 eV per atom
- Magnetic moment: 0.0 μB/f.u.
- Formation enthalpy at 0 K: 0.36 eV per atom